# ScTlBr2Cl GGA-PBE relaxed
# electronic total energy = -4.053 eV per atom
# raw formation energy = -1.275 eV/atom
data_ScTlBr2Cl
_chemical_formula_sum 'Sc1 Tl1 Br2 Cl1'
_symmetry_space_group_name_H-M 'P 4/m m m'
_symmetry_Int_Tables_number 123
_symmetry_space_group_name_Hall '-P 4 2'
_cell_length_a 5.4651
_cell_length_b 5.4651
_cell_length_c 5.0436
_cell_angle_alpha 90.00
_cell_angle_beta 90.00
_cell_angle_gamma 90.00
loop_
_atom_site_label
_atom_site_type_symbol
_atom_site_fract_x
_atom_site_fract_y
_atom_site_fract_z
Sc1 Sc 0.0000 0.0000 0.0000
Tl1 Tl 0.5000 0.5000 0.5000
Br1 Br 0.0000 0.5000 0.0000
Cl1 Cl 0.0000 0.0000 0.5000